(1)
# ErMgInS4 PBE relaxed
# Formation energy without anion corrections, kJ/mol of formula units: -906
data_ErMgInS4
_chemical_formula_sum 'Er2 Mg2 In2 S8'
_space_group_name_H-M_alt 'P 1'
_space_group_IT_number 1
_space_group_name_Hall 'P 1'
_cell_length_a 7.735
_cell_length_b 7.750
_cell_length_c 7.750
_cell_angle_alpha 60.16
_cell_angle_beta 60.07
_cell_angle_gamma 60.07
loop_
_atom_site_label
_atom_site_type_symbol
_atom_site_fract_x
_atom_site_fract_y
_atom_site_fract_z
S1 S 0.246 0.776 0.731
S2 S 0.251 0.241 0.741
S3 S 0.767 0.241 0.741
In1 In 0.368 0.382 0.882
S4 S 0.749 0.759 0.259
Mg1 Mg 0.500 0.000 0.500
Er1 Er 0.000 0.000 0.000
S5 S 0.246 0.231 0.276
Er2 Er 0.000 0.500 0.500
In2 In 0.632 0.618 0.118
S6 S 0.754 0.769 0.724
Mg2 Mg 0.000 0.000 0.500
S7 S 0.233 0.759 0.259
S8 S 0.754 0.224 0.269

=====

(2)
# Zr2PaTa PBE relaxed
# Formation energy from the elements, kJ/mol of atoms: 26.94
# N(E_F), states/eV/cell: 6.4
data_Zr2PaTa
_chemical_formula_sum 'Zr2 Pa1 Ta1'
_space_group_name_H-M_alt 'P 1'
_space_group_IT_number 1
_space_group_name_Hall 'P 1'
_cell_length_a 3.102
_cell_length_b 3.102
_cell_length_c 11.014
_cell_angle_alpha 81.91
_cell_angle_beta 81.91
_cell_angle_gamma 60.00
loop_
_atom_site_label
_atom_site_type_symbol
_atom_site_fract_x
_atom_site_fract_y
_atom_site_fract_z
Ta1 Ta 0.500 0.500 0.500
Zr1 Zr 0.908 0.908 0.276
Pa1 Pa 0.000 0.000 0.000
Zr2 Zr 0.092 0.092 0.724

=====

(3)
# HoBe2Ir PBE relaxed
# Formation energy from the elements, kJ/mol of atoms: -50.68
# N(E_F), states/eV/cell: 2.8
data_HoBe2Ir
_chemical_formula_sum 'Ho1 Be2 Ir1'
_space_group_name_H-M_alt 'P 1'
_space_group_IT_number 1
_space_group_name_Hall 'P 1'
_cell_length_a 3.874
_cell_length_b 3.874
_cell_length_c 5.272
_cell_angle_alpha 68.45
_cell_angle_beta 68.45
_cell_angle_gamma 60.00
loop_
_atom_site_label
_atom_site_type_symbol
_atom_site_fract_x
_atom_site_fract_y
_atom_site_fract_z
Ir1 Ir 0.500 0.500 0.500
Be1 Be 0.803 0.803 0.592
Be2 Be 0.197 0.197 0.408
Ho1 Ho 0.000 0.000 0.000

=====

(4)
# Ti4I PBE relaxed
# Formation energy without anion corrections, kJ/mol of formula units: 517
# N(E_F), states/eV/cell: 8.7
data_Ti4I
_chemical_formula_sum 'Ti4 I1'
_space_group_name_H-M_alt 'P 1'
_space_group_IT_number 1
_space_group_name_Hall 'P 1'
_cell_length_a 4.904
_cell_length_b 4.904
_cell_length_c 4.904
_cell_angle_alpha 90.00
_cell_angle_beta 90.00
_cell_angle_gamma 90.00
loop_
_atom_site_label
_atom_site_type_symbol
_atom_site_fract_x
_atom_site_fract_y
_atom_site_fract_z
Ti1 Ti 0.000 0.500 0.500
Ti2 Ti 0.500 0.500 0.000
Ti3 Ti 0.500 0.000 0.500
I1 I 0.500 0.500 0.500
Ti4 Ti 0.000 0.000 0.000